# 1
Density functional theory data (meta-GGA SCAN) for a crystal of TaNbCN relaxed with PBEsol.

Cell: 3.1343 3.1343 15.4439 Å, 90.00 90.00 120.00°
Space group R3m (No. 160, hexagonal axes)
Inequivalent atoms, fractional coordinates:
Ta: 0.0000 0.0000 0.0000
Nb: 0.0000 0.0000 0.5124
C: 0.0000 0.0000 0.2577
N: 0.0000 0.0000 0.7517

Output
mass density	11.37	g/cm3
total moment	0.00	μB/f.u.
formation energy without anion corrections	-0.830	eV per atom
total DFT energy (no corrections)	-2.250	Ry per atom



# 2
Density functional theory data (meta-GGA SCAN) for a crystal of YNbC2N relaxed with PBEsol.

Cell: 3.996 3.996 3.970 Å, 90.00 90.00 90.00°
Space group P4/mmm (No. 123)
Inequivalent atoms, fractional coordinates:
Y: 0.000 0.000 0.000
Nb: 0.500 0.500 0.000
C: 0.000 0.500 0.500
N: 0.000 0.000 0.500

Output
mass density	5.76	g/cm3
total moment	0.43	μB/f.u.
formation energy without anion corrections	2.051	eV per atom
total DFT energy (no corrections)	-1.179	Ry per atom



# 3
Density functional theory data (meta-GGA SCAN) for a crystal of Ni3CN relaxed with PBEsol.

Cell: 3.631 3.631 3.631 Å, 90.00 90.00 90.00°
Space group Pm-3m (No. 221)
Inequivalent atoms, fractional coordinates:
Ni: 0.000 0.000 0.500
C: 0.500 0.500 0.500
N: 0.000 0.000 0.000

Output
mass density	7.01	g/cm3
total moment	0.00	μB/f.u.
formation energy without anion corrections	0.942	eV per atom
total DFT energy (no corrections)	-0.929	Ry per atom



# 4
Density functional theory data (meta-GGA SCAN) for a crystal of OsCNO2 relaxed with PBEsol.

Cell: 3.368 3.368 3.379 Å, 90.00 90.00 90.00°
Space group P4/mmm (No. 123)
Inequivalent atoms, fractional coordinates:
Os: 0.000 0.000 0.000
C: 0.500 0.500 0.500
N: 0.500 0.500 0.000
O: 0.000 0.500 0.500

Output
mass density	10.75	g/cm3
total moment	0.00	μB/f.u.
formation energy without anion corrections	1.847	eV per atom
total DFT energy (no corrections)	-1.389	Ry per atom



# 5
Density functional theory data (meta-GGA SCAN) for a crystal of OsCNO2 relaxed with PBEsol.

Cell: 3.772 3.772 3.820 Å, 90.00 90.00 90.00°
Space group P4/mmm (No. 123)
Inequivalent atoms, fractional coordinates:
Os: 0.000 0.000 0.000
C: 0.500 0.500 0.500
N: 0.000 0.000 0.500
O: 0.000 0.500 0.000

Output
mass density	7.58	g/cm3
total moment	1.67	μB/f.u.
formation energy without anion corrections	1.297	eV per atom
total DFT energy (no corrections)	-1.430	Ry per atom



# 6
Density functional theory data (meta-GGA SCAN) for a crystal of Pr2CN2O2 relaxed with PBEsol.

Cell: 3.9140 3.9140 8.3162 Å, 90.00 90.00 120.00°
Space group P-3m1 (No. 164)
Inequivalent atoms, fractional coordinates:
Pr: 0.3333 0.6667 0.1811
C: 0.0000 0.0000 0.5000
N: 0.0000 0.0000 0.3514
O: 0.3333 0.6667 0.8967

Output
mass density	5.33	g/cm3
total moment	0.00	μB/f.u.
formation energy without anion corrections	-2.292	eV per atom
total DFT energy (no corrections)	-1.510	Ry per atom



# 7
Density functional theory data (meta-GGA SCAN) for a crystal of Pr2SiCN2O4 relaxed with PBEsol.

Cell: 6.443 6.702 6.757 Å, 86.05 72.57 73.84°
Space group P-1 (No. 2)
Inequivalent atoms, fractional coordinates:
Pr: 0.045 0.176 0.218
Pr: 0.434 0.264 0.669
Si: 0.457 0.800 0.812
C: 0.065 0.676 0.308
N: 0.021 0.439 0.755
N: 0.143 0.799 0.373
O: 0.222 0.988 0.884
O: 0.360 0.111 0.376
O: 0.385 0.633 0.696
O: 0.409 0.271 0.017

Output
mass density	5.14	g/cm3
total moment	0.00	μB/f.u.
formation energy without anion corrections	-2.587	eV per atom
total DFT energy (no corrections)	-1.295	Ry per atom



# 8
Density functional theory data (meta-GGA SCAN) for a crystal of RbCNO2 relaxed with PBEsol.

Cell: 5.289 5.289 6.173 Å, 90.00 90.00 90.00°
Space group P4/mmm (No. 123)
Inequivalent atoms, fractional coordinates:
Rb: 0.000 0.000 0.000
C: 0.500 0.500 0.500
N: 0.000 0.000 0.500
O: 0.000 0.500 0.000

Output
mass density	1.38	g/cm3
total moment	8.03	μB/f.u.
formation energy without anion corrections	2.702	eV per atom
total DFT energy (no corrections)	-0.575	Ry per atom



Q: What is the mass density in the fifth record?
A: 7.58 g/cm3